(1)
Computed, not measured: TeRuPt2 after structural relaxation at the PBE level of DFT.

Lattice parameters (Å, degrees): 3.4372 3.4372 5.7994 90.00 90.00 90.00
Last column: nearest neighbours and their distance in Å.
Fractional coordinates of all 4 atoms:
Te (0.0000, 0.0000, 0.0000)  4 Ru 2.79, 6 Pt 2.79-3.01
Ru (0.5000, 0.5000, 0.7655)  5 Pt 2.73-2.82, 4 Te 2.79
Pt (0.0000, 0.0000, 0.5184)  4 Pt 2.75, 2 Te 2.79-3.01, 4 Ru 2.82
Pt (0.5000, 0.5000, 0.2954)  1 Ru 2.73, 4 Pt 2.75, 4 Te 2.97

## Properties
**Electronic total energy**: -23.74 eV/f.u.
**Magnetic moment**: 0.00 μB per formula unit

---

(2)
Computed, not measured: Te2RuPt after structural relaxation at the PBE level of DFT.

Lattice parameters (Å, degrees): 3.2046 4.1476 12.5396 90.00 90.00 90.00
Last column: nearest neighbours and their distance in Å.
Fractional coordinates of all 8 atoms:
Te (0.0000, 0.0000, 0.0000)  4 Ru 2.72, 2 Pt 2.80
Te (0.0000, 0.5000, 0.2333)  2 Ru 2.72, 4 Pt 3.00
Te (0.5000, 0.0000, 0.7333)  2 Ru 2.72, 4 Pt 3.00
Te (0.5000, 0.5000, 0.5000)  4 Ru 2.72, 2 Pt 2.80
Ru (0.0000, 0.0000, 0.5580)  6 Te 2.72
Ru (0.5000, 0.5000, 0.0580)  6 Te 2.72
Pt (0.0000, 0.5000, 0.8497)  6 Te 2.80-3.00, 2 Ru 3.06
Pt (0.5000, 0.0000, 0.3497)  6 Te 2.80-3.00, 2 Ru 3.06

## Properties
**Electronic total energy**: -20.87 eV/f.u.
**Polymorph energy (0 for the lowest one)**: 214 meV per atom
**Magnetic moment**: 0.00 μB per formula unit

---

(3)
Computed, not measured: Te2RuPt after structural relaxation at the PBE level of DFT.

Lattice parameters (Å, degrees): 3.7291 3.7291 24.4107 90.00 90.00 120.00
Last column: nearest neighbours and their distance in Å.
Fractional coordinates of all 12 atoms:
Te (0.0000, 0.0000, 0.1039)  1 Pt 2.54, 3 Ru 2.64
Te (0.0000, 0.0000, 0.8961)  1 Pt 2.54, 3 Ru 2.64
Te (0.3333, 0.6667, 0.5627)  1 Pt 2.54, 3 Ru 2.64
Te (0.3333, 0.6667, 0.7706)  1 Pt 2.54, 3 Ru 2.64
Te (0.6667, 0.3333, 0.2294)  1 Pt 2.54, 3 Ru 2.64
Te (0.6667, 0.3333, 0.4373)  1 Pt 2.54, 3 Ru 2.64
Ru (0.0000, 0.0000, 0.5000)  6 Te 2.64
Ru (0.3333, 0.6667, 0.1667)  6 Te 2.64
Ru (0.6667, 0.3333, 0.8333)  6 Te 2.64
Pt (0.0000, 0.0000, 0.0000)  2 Te 2.54
Pt (0.3333, 0.6667, 0.6667)  2 Te 2.54
Pt (0.6667, 0.3333, 0.3333)  2 Te 2.54

## Properties
**Electronic total energy**: -20.86 eV/f.u.
**Polymorph energy (0 for the lowest one)**: 219 meV per atom
**Magnetic moment**: 0.00 μB per formula unit

---

(4)
Computed, not measured: TeRuPt2 after structural relaxation at the PBE level of DFT.

Lattice parameters (Å, degrees): 3.0620 3.0620 25.6138 90.00 90.00 120.00
Last column: nearest neighbours and their distance in Å.
Fractional coordinates of all 12 atoms:
Te (0.0000, 0.0000, 0.0000)  3 Ru 2.65, 3 Pt 2.84
Te (0.3333, 0.6667, 0.6667)  3 Ru 2.65, 3 Pt 2.84
Te (0.6667, 0.3333, 0.3333)  3 Ru 2.65, 3 Pt 2.84
Ru (0.0000, 0.0000, 0.2564)  3 Te 2.65, 3 Pt 2.78
Ru (0.3333, 0.6667, 0.9230)  3 Te 2.65, 3 Pt 2.78
Ru (0.6667, 0.3333, 0.5897)  3 Te 2.65, 3 Pt 2.78
Pt (0.0000, 0.0000, 0.5062)  3 Ru 2.78, 9 Pt 2.83-3.06
Pt (0.0000, 0.0000, 0.7534)  9 Pt 2.83-3.06, 3 Te 2.84
Pt (0.3333, 0.6667, 0.1729)  3 Ru 2.78, 9 Pt 2.83-3.06
Pt (0.3333, 0.6667, 0.4201)  9 Pt 2.83-3.06, 3 Te 2.84
Pt (0.6667, 0.3333, 0.0867)  9 Pt 2.83-3.06, 3 Te 2.84
Pt (0.6667, 0.3333, 0.8395)  3 Ru 2.78, 9 Pt 2.83-3.06

## Properties
**Electronic total energy**: -23.16 eV/f.u.
**Magnetic moment**: 0.00 μB per formula unit

---

(5)
Computed, not measured: TeRuPt2 after structural relaxation at the PBE level of DFT.

Lattice parameters (Å, degrees): 5.4775 5.4775 13.0120 90.00 90.00 90.00
Last column: nearest neighbours and their distance in Å.
Fractional coordinates of all 16 atoms:
Te (0.0000, 0.0000, 0.0000)  4 Pt 2.62
Te (0.0000, 0.5000, 0.2500)  4 Pt 2.62
Te (0.5000, 0.0000, 0.7500)  4 Pt 2.62
Te (0.5000, 0.5000, 0.5000)  4 Pt 2.62
Ru (0.0000, 0.0000, 0.5000)  4 Pt 2.45
Ru (0.0000, 0.5000, 0.7500)  4 Pt 2.45
Ru (0.5000, 0.0000, 0.2500)  4 Pt 2.45
Ru (0.5000, 0.5000, 0.0000)  4 Pt 2.45
Pt (0.2220, 0.2500, 0.6250)  2 Ru 2.45, 2 Te 2.62
Pt (0.2500, 0.7220, 0.8750)  2 Ru 2.45, 2 Te 2.62
Pt (0.2500, 0.7780, 0.3750)  2 Ru 2.45, 2 Te 2.62
Pt (0.2780, 0.2500, 0.1250)  2 Ru 2.45, 2 Te 2.62
Pt (0.7220, 0.7500, 0.1250)  2 Ru 2.45, 2 Te 2.62
Pt (0.7500, 0.2220, 0.3750)  2 Ru 2.45, 2 Te 2.62
Pt (0.7500, 0.2780, 0.8750)  2 Ru 2.45, 2 Te 2.62
Pt (0.7780, 0.7500, 0.6250)  2 Ru 2.45, 2 Te 2.62

## Properties
**Electronic total energy**: -22.04 eV/f.u.
**Magnetic moment**: 0.00 μB per formula unit

---

(6)
Computed, not measured: TeRu2Pt2 after structural relaxation at the PBE level of DFT.

Lattice parameters (Å, degrees): 7.8052 7.8052 2.8398 90.00 90.00 90.00
Last column: nearest neighbours and their distance in Å.
Fractional coordinates of all 10 atoms:
Te (0.0000, 0.0000, 0.0000)  2 Te 2.84, 4 Pt 2.88
Te (0.5000, 0.5000, 0.0000)  2 Te 2.84, 4 Pt 2.88
Ru (0.1167, 0.3833, 0.5000)  3 Ru 2.58-2.84, 6 Pt 2.69-2.73
Ru (0.3833, 0.8833, 0.5000)  3 Ru 2.58-2.84, 6 Pt 2.69-2.73
Ru (0.6167, 0.1167, 0.5000)  3 Ru 2.58-2.84, 6 Pt 2.69-2.73
Ru (0.8833, 0.6167, 0.5000)  3 Ru 2.58-2.84, 6 Pt 2.69-2.73
Pt (0.1764, 0.6764, 0.0000)  6 Ru 2.69-2.73, 2 Pt 2.84, 2 Te 2.88
Pt (0.3236, 0.1764, 0.0000)  6 Ru 2.69-2.73, 2 Pt 2.84, 2 Te 2.88
Pt (0.6764, 0.8236, 0.0000)  6 Ru 2.69-2.73, 2 Pt 2.84, 2 Te 2.88
Pt (0.8236, 0.3236, 0.0000)  6 Ru 2.69-2.73, 2 Pt 2.84, 2 Te 2.88

## Properties
**Electronic total energy**: -32.00 eV/f.u.
**Polymorph energy (0 for the lowest one)**: 0 meV per atom
**Magnetic moment**: 0.00 μB per formula unit

---

(7)
Computed, not measured: TeRuPt2 after structural relaxation at the PBE level of DFT.

Lattice parameters (Å, degrees): 6.4812 6.4812 6.4812 90.00 90.00 90.00
Last column: nearest neighbours and their distance in Å.
Fractional coordinates of all 16 atoms:
Te (0.0000, 0.0000, 0.0000)  4 Ru 2.81, 4 Pt 2.81
Te (0.0000, 0.5000, 0.5000)  4 Ru 2.81, 4 Pt 2.81
Te (0.5000, 0.0000, 0.5000)  4 Ru 2.81, 4 Pt 2.81
Te (0.5000, 0.5000, 0.0000)  4 Ru 2.81, 4 Pt 2.81
Ru (0.2500, 0.2500, 0.7500)  4 Te 2.81, 4 Pt 2.81
Ru (0.2500, 0.7500, 0.2500)  4 Te 2.81, 4 Pt 2.81
Ru (0.7500, 0.2500, 0.2500)  4 Te 2.81, 4 Pt 2.81
Ru (0.7500, 0.7500, 0.7500)  4 Te 2.81, 4 Pt 2.81
Pt (0.0000, 0.0000, 0.5000)  4 Ru 2.81, 4 Pt 2.81
Pt (0.0000, 0.5000, 0.0000)  4 Ru 2.81, 4 Pt 2.81
Pt (0.2500, 0.2500, 0.2500)  4 Te 2.81, 4 Pt 2.81
Pt (0.2500, 0.7500, 0.7500)  4 Te 2.81, 4 Pt 2.81
Pt (0.5000, 0.0000, 0.0000)  4 Ru 2.81, 4 Pt 2.81
Pt (0.5000, 0.5000, 0.5000)  4 Ru 2.81, 4 Pt 2.81
Pt (0.7500, 0.2500, 0.7500)  4 Te 2.81, 4 Pt 2.81
Pt (0.7500, 0.7500, 0.2500)  4 Te 2.81, 4 Pt 2.81

## Properties
**Electronic total energy**: -23.59 eV/f.u.
**Magnetic moment**: 1.00 μB per formula unit

---

(8)
Computed, not measured: Te3RuPt after structural relaxation at the PBE level of DFT.

Lattice parameters (Å, degrees): 5.2049 5.2049 5.2049 90.00 90.00 90.00
Last column: nearest neighbours and their distance in Å.
Fractional coordinates of all 5 atoms:
Te (0.0000, 0.0000, 0.5000)  2 Pt 2.60
Te (0.0000, 0.5000, 0.0000)  2 Pt 2.60
Te (0.5000, 0.0000, 0.0000)  2 Pt 2.60
Ru (0.5000, 0.5000, 0.5000)  12 Te 3.68
Pt (0.0000, 0.0000, 0.0000)  6 Te 2.60

## Properties
**Electronic total energy**: -19.13 eV/f.u.
**Polymorph energy (0 for the lowest one)**: 265 meV per atom
**Magnetic moment**: 0.00 μB per formula unit

---

(9)
Computed, not measured: TeRuPt after structural relaxation at the PBE level of DFT.

Lattice parameters (Å, degrees): 4.2363 4.2363 3.5226 90.00 90.00 120.00
Last column: nearest neighbours and their distance in Å.
Fractional coordinates of all 3 atoms:
Te (0.0000, 0.0000, 0.0000)  3 Ru 2.54, 3 Pt 2.73
Ru (0.3333, 0.6667, 0.8044)  3 Te 2.54
Pt (0.6667, 0.3333, 0.3474)  3 Te 2.73, 3 Ru 2.93

## Properties
**Electronic total energy**: -17.78 eV/f.u.
**Polymorph energy (0 for the lowest one)**: 83 meV per atom
**Magnetic moment**: 0.00 μB per formula unit

---

(10)
Computed, not measured: Te2RuPt after structural relaxation at the PBE level of DFT.

Lattice parameters (Å, degrees): 3.3420 3.3310 6.9836 90.00 90.68 90.00
Last column: nearest neighbours and their distance in Å.
Fractional coordinates of all 4 atoms:
Te (0.0123, 0.0000, 0.2392)  4 Ru 2.88-2.90, 4 Pt 2.95-3.02
Te (0.9877, 0.0000, 0.7608)  4 Ru 2.88-2.90, 4 Pt 2.95-3.02
Ru (0.5000, 0.5000, 0.0000)  8 Te 2.88-2.90
Pt (0.5000, 0.5000, 0.5000)  8 Te 2.95-3.02

## Properties
**Electronic total energy**: -20.65 eV/f.u.
**Polymorph energy (0 for the lowest one)**: 269 meV per atom
**Magnetic moment**: 0.65 μB per formula unit

---

(11)
Computed, not measured: TeRuPt2 after structural relaxation at the PBE level of DFT.

Lattice parameters (Å, degrees): 3.0155 4.6349 4.8718 90.00 90.00 90.00
Last column: nearest neighbours and their distance in Å.
Fractional coordinates of all 4 atoms:
Te (0.0000, 0.0000, 0.0000)  4 Ru 2.76, 4 Pt 2.86, 2 Te 3.02
Ru (0.5000, 0.5000, 0.0000)  4 Te 2.76, 4 Pt 2.86, 2 Ru 3.02
Pt (0.0000, 0.5000, 0.5000)  6 Pt 2.76-3.02, 4 Ru 2.86
Pt (0.5000, 0.0000, 0.5000)  6 Pt 2.76-3.02, 4 Te 2.86

## Properties
**Electronic total energy**: -23.43 eV/f.u.
**Magnetic moment**: 0.00 μB per formula unit

---

(12)
Computed, not measured: Te2RuPt after structural relaxation at the PBE level of DFT.

Lattice parameters (Å, degrees): 4.9700 5.1900 6.9861 90.00 90.00 90.00
Last column: nearest neighbours and their distance in Å.
Fractional coordinates of all 8 atoms:
Te (0.0000, 0.0000, 0.0000)  3 Pt 2.65-2.73, 2 Ru 2.71
Te (0.0000, 0.5000, 0.5000)  3 Pt 2.65-2.73, 2 Ru 2.71
Te (0.5000, 0.0000, 0.4654)  3 Ru 2.65-2.73, 2 Pt 2.71
Te (0.5000, 0.5000, 0.9654)  3 Ru 2.65-2.73, 2 Pt 2.71
Ru (0.5000, 0.0000, 0.8443)  5 Te 2.65-2.73, 2 Pt 2.93
Ru (0.5000, 0.5000, 0.3443)  5 Te 2.65-2.73, 2 Pt 2.93
Pt (0.0000, 0.0000, 0.6213)  5 Te 2.65-2.73, 2 Ru 2.93
Pt (0.0000, 0.5000, 0.1213)  5 Te 2.65-2.73, 2 Ru 2.93

## Properties
**Electronic total energy**: -21.60 eV/f.u.
**Polymorph energy (0 for the lowest one)**: 32 meV per atom
**Magnetic moment**: 0.00 μB per formula unit

---

Number 1 is which compound?
TeRuPt2